[1]
TlBiAs | PBE | optimized geometry

Structure (POSCAR):
```
TlBiAs
1.0
5.1210 0.0000 0.0000
2.5605 4.4350 0.0000
2.5605 1.4783 4.1813
Bi Tl As
1 1 1
Cartesian
0.0000 0.0000 0.0000
5.1210 2.9566 2.0907
2.5605 1.4783 1.0453
```

Computed properties:
Space-group type: F-43m (216)
Total moment: 0.000 μB/atom
Distance to the lowest polymorph of the same formula: 0.138 eV/atom
Final energy: -10.4 eV for the cell shown
Formation energy: 0.182 eV per atom
Calculated density: 8.538 g/cm³

***

[2]
U2GaTc | PBE | optimized geometry

Structure (POSCAR):
```
U2GaTc
1.0
-1.6995 -1.6471 -1.7607
0.8128 -2.7528 -0.6803
-5.2016 -4.8730 7.1084
U Tc Ga
2 1 1
Cartesian
-1.5972 -2.3703 1.2881
-4.4911 -6.9025 3.3793
-3.0442 -4.6364 2.3337
0.0000 0.0000 0.0000
```

Computed properties:
Space-group type: R-3m (166)
Total moment: 0.001 μB/atom
Final energy: -35.7 eV for the cell shown
Formation energy: 0.060 eV per atom
Calculated density: 14.299 g/cm³